# BaSr2As PBE-GGA optimized geometry
data_BaSr2As
_space_group_name_H-M_alt 'I -4 2 d'
_space_group_IT_number 122
_space_group_name_Hall 'I -4 2bw'
_cell_length_a 10.6396
_cell_length_b 10.6396
_cell_length_c 6.7837
_cell_angle_alpha 90.00
_cell_angle_beta 90.00
_cell_angle_gamma 90.00
loop_
_atom_site_label
_atom_site_type_symbol
_atom_site_fract_x
_atom_site_fract_y
_atom_site_fract_z
Ba1 Ba 0.0000 0.0000 0.0000
Sr1 Sr 0.1328 0.7500 0.6250
As1 As 0.0000 0.0000 0.5000
# energy relative to the elements = -47 kJ/mol of atoms
# final energy = -2.97 eV per atom
# theoretical density = 3.35 g/cm3
# calculated volume = 47.995 Å³/atom